MgNiPS2, optimized geometry, DFT GGA-PBE; energy relative to the lowest polymorph listed for this composition = 79.52 kJ/mol of atoms; formation energy from raw total energies = 0.916 eV/atom
1.0
4.7037 0.0000 0.0000
0.0000 4.7037 0.0000
0.0000 0.0000 4.7625
Mg Ni P S
1 1 1 2
direct
0.0000 0.0000 0.0000
0.5000 0.5000 0.5000
0.0000 0.0000 0.5000
0.0000 0.5000 0.0000
0.5000 0.0000 0.0000

---

MgNiPS2, optimized geometry, DFT GGA-PBE; energy relative to the lowest polymorph listed for this composition = 0.00 kJ/mol of atoms; formation energy from raw total energies = 0.092 eV/atom
1.0
4.7787 0.0000 0.0000
0.0000 4.7787 0.0000
0.0000 0.0000 4.0801
Mg Ni P S
1 1 1 2
direct
0.0000 0.0000 0.0000
0.5000 0.5000 0.5000
0.5000 0.5000 0.0000
0.0000 0.5000 0.5000
0.5000 0.0000 0.5000

---

Sm2MgNi4P3, optimized geometry, DFT GGA-PBE; calculated total energy = -59.09 eV/cell
1.0
3.9353 0.0000 0.0000
0.0000 3.9353 0.0000
0.0000 0.0000 9.9075
Sm Mg Ni P
2 1 4 3
direct
0.0000 0.5000 0.2340
0.5000 0.0000 0.7660
0.0000 0.0000 0.5000
0.0000 0.0000 0.0000
0.0000 0.5000 0.6464
0.5000 0.0000 0.3536
0.5000 0.5000 0.0000
0.0000 0.5000 0.8724
0.5000 0.0000 0.1276
0.5000 0.5000 0.5000

---

SrMgNiP2, optimized geometry, DFT GGA-PBE; calculated total energy = -45.82 eV/cell
1.0
5.0359 0.0000 0.0000
0.0000 6.4509 0.0000
0.0000 0.0000 5.8840
Sr Mg Ni P
2 2 2 4
direct
0.2500 0.0000 0.2225
0.7500 0.0000 0.7775
0.2500 0.5000 0.3792
0.7500 0.5000 0.6208
0.0000 0.5000 0.0000
0.5000 0.5000 0.0000
0.2500 0.2856 0.7649
0.2500 0.7144 0.7649
0.7500 0.2856 0.2351
0.7500 0.7144 0.2351

---

SrMgNiP, optimized geometry, DFT GGA-PBE; calculated total energy = -32.89 eV/cell
1.0
4.0144 0.0000 0.0000
0.0000 4.0144 0.0000
0.0000 0.0000 11.5144
Sr Mg Ni P
2 2 2 2
direct
0.2500 0.2500 0.2166
0.7500 0.7500 0.7834
0.2500 0.7500 0.5000
0.7500 0.2500 0.5000
0.2500 0.7500 0.0000
0.7500 0.2500 0.0000
0.2500 0.2500 0.9036
0.7500 0.7500 0.0964

---

Tb2MgNi12P3, optimized geometry, DFT GGA-PBE; calculated total energy = -99.86 eV/cell
1.0
4.2359 2.4456 3.9179
-4.2359 2.4456 3.9179
0.0000 -4.8912 3.9179
Tb Mg Ni P
2 1 12 3
direct
0.1528 0.1528 0.1528
0.8472 0.8472 0.8472
0.5000 0.5000 0.5000
0.1229 0.1229 0.6020
0.1229 0.6020 0.1229
0.1860 0.6804 0.6804
0.3196 0.3196 0.8140
0.3196 0.8140 0.3196
0.3980 0.8771 0.8771
0.6020 0.1229 0.1229
0.6804 0.1860 0.6804
0.6804 0.6804 0.1860
0.8140 0.3196 0.3196
0.8771 0.3980 0.8771
0.8771 0.8771 0.3980
0.0000 0.5000 0.5000
0.5000 0.0000 0.5000
0.5000 0.5000 0.0000

---

Question: What is the formula in the second record?
Answer: MgNiPS2

---

Repeat the second record exactly.
MgNiPS2, optimized geometry, DFT GGA-PBE; energy relative to the lowest polymorph listed for this composition = 0.00 kJ/mol of atoms; formation energy from raw total energies = 0.092 eV/atom
1.0
4.7787 0.0000 0.0000
0.0000 4.7787 0.0000
0.0000 0.0000 4.0801
Mg Ni P S
1 1 1 2
direct
0.0000 0.0000 0.0000
0.5000 0.5000 0.5000
0.5000 0.5000 0.0000
0.0000 0.5000 0.5000
0.5000 0.0000 0.5000